# La4PdSeI2, relaxed, DFT PBE
# Raw formation energy = -1.218 eV per atom
# Final energy = -41.23 eV/f.u.
# D(E_F) = 5.0 states/eV/f.u.
data_La4PdSeI2
_cell_length_a 7.762
_cell_length_b 4.241
_cell_length_c 8.181
_cell_angle_alpha 90.00
_cell_angle_beta 107.27
_cell_angle_gamma 90.00
_symmetry_space_group_name_H-M 'P 1 2/m 1'
_symmetry_Int_Tables_number 10
_symmetry_space_group_name_Hall '-P 2y'
loop_
_atom_site_label
_atom_site_fract_x
_atom_site_fract_y
_atom_site_fract_z
_atom_site_occupancy
La1 0.222 0.000 0.202 1
La2 0.269 0.500 0.789 1
Pd1 0.000 0.500 0.000 1
Se1 0.500 0.000 0.000 1
I1 0.000 0.000 0.500 1
I2 0.500 0.500 0.500 1

# Dy3Co7B2, relaxed, DFT PBE
# E_form = -7.99 kcal/mol of atoms
# Final energy = -81.06 eV/f.u.
# D(E_F) = 14.8 states/eV/f.u.
data_Dy3Co7B2
_cell_length_a 5.0582
_cell_length_b 5.0582
_cell_length_c 21.1664
_cell_angle_alpha 90.00
_cell_angle_beta 90.00
_cell_angle_gamma 120.00
_symmetry_space_group_name_H-M 'R -3 m'
_symmetry_Int_Tables_number 166
_symmetry_space_group_name_Hall '-R 3 2"'
loop_
_atom_site_label
_atom_site_fract_x
_atom_site_fract_y
_atom_site_fract_z
_atom_site_occupancy
Dy1 0.0000 0.0000 0.0000 1
Dy2 0.0000 0.0000 0.1438 1
Co1 0.0000 0.0000 0.5000 1
Co2 0.0040 0.5020 0.0685 1
B1 0.0000 0.0000 0.3325 1

# Mn2NbHPt, relaxed, DFT PBE
# Final energy = -38.59 eV/f.u.
# D(E_F) = 2.9 states/eV/f.u.
data_Mn2NbHPt
_cell_length_a 4.028
_cell_length_b 4.028
_cell_length_c 3.724
_cell_angle_alpha 90.00
_cell_angle_beta 90.00
_cell_angle_gamma 90.00
_symmetry_space_group_name_H-M 'P 4/m m m'
_symmetry_Int_Tables_number 123
_symmetry_space_group_name_Hall '-P 4 2'
loop_
_atom_site_label
_atom_site_fract_x
_atom_site_fract_y
_atom_site_fract_z
_atom_site_occupancy
Mn1 0.000 0.500 0.000 1
Nb1 0.000 0.000 0.500 1
H1 0.500 0.500 0.000 1
Pt1 0.500 0.500 0.500 1

# CaTaAs, relaxed, DFT PBE
# E_form = -4.33 kcal/mol of atoms
# Final energy = -19.07 eV/f.u.
# D(E_F) = 3.1 states/eV/f.u.
data_CaTaAs
_cell_length_a 3.497
_cell_length_b 3.497
_cell_length_c 11.077
_cell_angle_alpha 90.00
_cell_angle_beta 90.00
_cell_angle_gamma 90.00
_symmetry_space_group_name_H-M 'I 4 m m'
_symmetry_Int_Tables_number 107
_symmetry_space_group_name_Hall 'I 4 -2'
loop_
_atom_site_label
_atom_site_fract_x
_atom_site_fract_y
_atom_site_fract_z
_atom_site_occupancy
Ca1 0.000 0.000 0.000 1
Ta1 0.000 0.000 0.292 1
As1 0.000 0.000 0.713 1

# TlAg3H, relaxed, DFT PBE
# Final energy = -13.00 eV/f.u.
# D(E_F) = 1.4 states/eV/f.u.
data_TlAg3H
_cell_length_a 4.362
_cell_length_b 4.362
_cell_length_c 4.362
_cell_angle_alpha 90.00
_cell_angle_beta 90.00
_cell_angle_gamma 90.00
_symmetry_space_group_name_H-M 'P m -3 m'
_symmetry_Int_Tables_number 221
_symmetry_space_group_name_Hall '-P 4 2 3'
loop_
_atom_site_label
_atom_site_fract_x
_atom_site_fract_y
_atom_site_fract_z
_atom_site_occupancy
Tl1 0.000 0.000 0.000 1
Ag1 0.000 0.500 0.500 1
H1 0.500 0.500 0.500 1

# Mo2PAu, relaxed, DFT PBE
# E_form = 2.04 kcal/mol of atoms
# Final energy = -30.00 eV/f.u.
# D(E_F) = 4.0 states/eV/f.u.
data_Mo2PAu
_cell_length_a 3.059
_cell_length_b 3.059
_cell_length_c 6.877
_cell_angle_alpha 90.00
_cell_angle_beta 90.00
_cell_angle_gamma 90.00
_symmetry_space_group_name_H-M 'P 4 m m'
_symmetry_Int_Tables_number 99
_symmetry_space_group_name_Hall 'P 4 -2'
loop_
_atom_site_label
_atom_site_fract_x
_atom_site_fract_y
_atom_site_fract_z
_atom_site_occupancy
Mo1 0.000 0.000 0.000 1
Mo2 0.500 0.500 0.265 1
P1 0.000 0.000 0.423 1
Au1 0.500 0.500 0.719 1

Q: What is the final energy in the fourth record?
A: -19.07 eV/f.u.

Q: What is the D(E_F) in the second record?
A: 14.8 states/eV/f.u.

Q: Which formula does entry 5 have?
A: TlAg3H

Q: What is the final energy in the third record?
A: -38.59 eV/f.u.